Material: Zr2P2SO12
Method: DFT, meta-GGA SCAN
State: PBEsol geometry Values from VASP.

Results
formation energy from raw total energies: -2.787 eV per atom
space group: Pc
DFT total energy: -855.9 eV per cell

```
&SYSTEM
  ibrav = 0, nat = 68, ntyp = 4
/
ATOMIC_SPECIES
Zr 91.22 Zr.upf
P 30.97 P.upf
S 32.06 S.upf
O 16.00 O.upf
CELL_PARAMETERS angstrom
8.948 0.000 0.000
0.000 9.007 0.000
-8.865 0.000 12.508
ATOMIC_POSITIONS crystal
Zr 0.000 0.213 0.000
Zr 0.000 0.787 0.500
Zr 0.236 0.214 0.741
Zr 0.236 0.786 0.241
Zr 0.502 0.281 0.510
Zr 0.502 0.719 0.010
Zr 0.736 0.281 0.239
Zr 0.736 0.719 0.739
P 0.116 0.140 0.478
P 0.116 0.860 0.978
P 0.337 0.361 0.980
P 0.337 0.639 0.480
P 0.621 0.364 0.768
P 0.621 0.636 0.268
P 0.840 0.000 0.122
P 0.840 0.000 0.622
S 0.407 0.140 0.269
S 0.407 0.860 0.769
S 0.904 0.499 0.124
S 0.904 0.501 0.624
O 0.017 0.087 0.701
O 0.017 0.913 0.201
O 0.060 0.399 0.686
O 0.060 0.601 0.186
O 0.062 0.026 0.956
O 0.062 0.974 0.456
O 0.164 0.181 0.588
O 0.164 0.819 0.088
O 0.170 0.342 0.984
O 0.170 0.658 0.484
O 0.243 0.179 0.164
O 0.243 0.821 0.664
O 0.285 0.162 0.476
O 0.285 0.838 0.976
O 0.312 0.264 0.890
O 0.312 0.736 0.390
O 0.357 0.475 0.459
O 0.357 0.525 0.959
O 0.396 0.016 0.796
O 0.396 0.984 0.296
O 0.424 0.241 0.350
O 0.424 0.759 0.850
O 0.452 0.337 0.767
O 0.452 0.663 0.267
O 0.511 0.313 0.088
O 0.511 0.687 0.588
O 0.572 0.152 0.270
O 0.572 0.848 0.770
O 0.583 0.316 0.660
O 0.583 0.684 0.160
O 0.675 0.471 0.287
O 0.675 0.529 0.787
O 0.678 0.108 0.556
O 0.678 0.892 0.056
O 0.735 0.420 0.547
O 0.735 0.580 0.047
O 0.780 0.269 0.856
O 0.780 0.731 0.356
O 0.801 0.105 0.186
O 0.801 0.895 0.686
O 0.865 0.090 0.046
O 0.865 0.910 0.546
O 0.887 0.417 0.202
O 0.887 0.583 0.702
O 0.945 0.397 0.066
O 0.945 0.603 0.566
O 0.958 0.236 0.391
O 0.958 0.764 0.891
```

Material: Ta2MoH
Method: DFT, meta-GGA SCAN
State: PBEsol geometry Values from VASP.

Results
space group: I-42d
DFT total energy: -339.9 eV per cell

```
&SYSTEM
  ibrav = 0, nat = 8, ntyp = 3
/
ATOMIC_SPECIES
Ta 180.95 Ta.upf
Mo 95.94 Mo.upf
H 1.01 H.upf
CELL_PARAMETERS angstrom
-3.002 3.002 3.091
3.002 -3.002 3.091
3.002 3.002 -3.091
ATOMIC_POSITIONS crystal
Ta 0.041 0.625 0.916
Ta 0.375 0.291 0.416
Ta 0.709 0.125 0.084
Ta 0.875 0.959 0.584
Mo 0.250 0.750 0.500
Mo 0.500 0.500 0.000
H 0.000 0.000 0.000
H 0.750 0.250 0.500
```

Material: KTl3
Method: DFT, meta-GGA SCAN
State: PBEsol geometry Values from VASP.

Results
space group: C2/m
DFT total energy: -225.8 eV per cell
energy of formation from the pure elements: -10.3 kJ per mole of atoms

```
&SYSTEM
  ibrav = 0, nat = 4, ntyp = 2
/
ATOMIC_SPECIES
K 39.10 K.upf
Tl 204.38 Tl.upf
CELL_PARAMETERS angstrom
5.288 -1.682 0.000
5.288 1.682 0.000
-0.812 0.000 6.917
ATOMIC_POSITIONS crystal
K 0.000 0.000 0.000
Tl 0.246 0.246 0.715
Tl 0.500 0.500 0.500
Tl 0.754 0.754 0.285
```

Material: BaPt
Method: DFT, meta-GGA SCAN
State: PBEsol geometry Values from VASP.

Results
space group: P6_3/mmc
DFT total energy: -223.1 eV per cell
energy of formation from the pure elements: -86.6 kJ per mole of atoms

```
&SYSTEM
  ibrav = 0, nat = 4, ntyp = 2
/
ATOMIC_SPECIES
Ba 137.33 Ba.upf
Pt 195.08 Pt.upf
CELL_PARAMETERS angstrom
5.070 0.000 0.000
-2.535 4.391 0.000
0.000 0.000 5.359
ATOMIC_POSITIONS crystal
Ba 0.333 0.667 0.250
Ba 0.667 0.333 0.750
Pt 0.000 0.000 0.000
Pt 0.000 0.000 0.500
```

Material: CoRe2Rh
Method: DFT, meta-GGA SCAN
State: PBEsol geometry Values from VASP.

Results
space group: R3m
DFT total energy: -192.8 eV per cell
energy above the most stable polymorph in this dataset: 0.164 eV/atom
energy of formation from the pure elements: 11.2 kJ per mole of atoms

```
&SYSTEM
  ibrav = 0, nat = 4, ntyp = 3
/
ATOMIC_SPECIES
Co 58.93 Co.upf
Re 186.21 Re.upf
Rh 102.91 Rh.upf
CELL_PARAMETERS angstrom
1.341 0.774 8.612
-1.341 0.774 8.612
0.000 -1.548 8.612
ATOMIC_POSITIONS crystal
Co 0.000 0.000 0.000
Re 0.255 0.255 0.255
Re 0.499 0.499 0.499
Rh 0.748 0.748 0.748
```

Material: CdSnTe2H
Method: DFT, meta-GGA SCAN
State: PBEsol geometry Values from VASP.

Results
space group: P4/mmm
DFT total energy: -140.2 eV per cell

```
&SYSTEM
  ibrav = 0, nat = 5, ntyp = 4
/
ATOMIC_SPECIES
Cd 112.41 Cd.upf
Sn 118.71 Sn.upf
Te 127.60 Te.upf
H 1.01 H.upf
CELL_PARAMETERS angstrom
5.679 0.000 0.000
0.000 5.679 0.000
0.000 0.000 5.611
ATOMIC_POSITIONS crystal
Cd 0.000 0.000 0.000
Sn 0.000 0.000 0.500
Te 0.000 0.500 0.500
Te 0.500 0.000 0.500
H 0.500 0.500 0.000
```

Material: SiIr2Br
Method: DFT, meta-GGA SCAN
State: PBEsol geometry Values from VASP.

Results
formation energy from raw total energies: 0.645 eV per atom
space group: P4mm
DFT total energy: -169.1 eV per cell
energy above the most stable polymorph in this dataset: 0.106 eV/atom

```
&SYSTEM
  ibrav = 0, nat = 4, ntyp = 3
/
ATOMIC_SPECIES
Si 28.09 Si.upf
Ir 192.22 Ir.upf
Br 79.90 Br.upf
CELL_PARAMETERS angstrom
2.897 0.000 0.000
0.000 2.897 0.000
0.000 0.000 7.610
ATOMIC_POSITIONS crystal
Si 0.000 0.000 0.000
Ir 0.000 0.000 0.565
Ir 0.500 0.500 0.816
Br 0.500 0.500 0.324
```

Material: Sc6Te2Pd
Method: DFT, meta-GGA SCAN
State: PBEsol geometry Values from VASP.

Results
formation energy from raw total energies: -0.845 eV per atom
space group: Pnma
DFT total energy: -801.2 eV per cell

```
&SYSTEM
  ibrav = 0, nat = 36, ntyp = 3
/
ATOMIC_SPECIES
Sc 44.96 Sc.upf
Te 127.60 Te.upf
Pd 106.42 Pd.upf
CELL_PARAMETERS angstrom
20.081 0.000 0.000
0.000 3.754 0.000
0.000 0.000 10.585
ATOMIC_POSITIONS crystal
Sc 0.007 0.250 0.112
Sc 0.026 0.750 0.381
Sc 0.108 0.250 0.817
Sc 0.139 0.750 0.063
Sc 0.157 0.250 0.535
Sc 0.232 0.750 0.741
Sc 0.268 0.250 0.241
Sc 0.343 0.750 0.035
Sc 0.361 0.250 0.563
Sc 0.392 0.750 0.317
Sc 0.474 0.250 0.881
Sc 0.493 0.750 0.612
Sc 0.507 0.250 0.388
Sc 0.526 0.750 0.119
Sc 0.608 0.250 0.683
Sc 0.639 0.750 0.437
Sc 0.657 0.250 0.965
Sc 0.732 0.750 0.759
Sc 0.768 0.250 0.259
Sc 0.843 0.750 0.465
Sc 0.861 0.250 0.937
Sc 0.892 0.750 0.183
Sc 0.974 0.250 0.619
Sc 0.993 0.750 0.888
Te 0.126 0.250 0.270
Te 0.236 0.250 0.958
Te 0.264 0.750 0.458
Te 0.374 0.750 0.770
Te 0.626 0.250 0.230
Te 0.736 0.250 0.542
Te 0.764 0.750 0.042
Te 0.874 0.750 0.730
Pd 0.075 0.750 0.641
Pd 0.425 0.250 0.141
Pd 0.575 0.750 0.859
Pd 0.925 0.250 0.359
```